(1)
4
Lattice="3.2541 0.0000 0.0000 0.0000 3.2541 0.0000 0.0000 0.0000 6.1601" Properties=species:S:1:pos:R:3 comment="MgSiW2 (PBE-GGA, optimized geometry)" formation_energy_uncorrected_ev_per_fu=1.3 pbc="T T T"
Mg 0.0000 0.0000 0.0000
Si 0.0000 0.0000 3.0801
W 1.6270 1.6270 1.8484
W 1.6270 1.6270 4.3117

(2)
8
Lattice="0.0000 4.4351 4.4351 4.4351 0.0000 4.4351 4.4351 4.4351 0.0000" Properties=species:S:1:pos:R:3 comment="AgCl7 (PBE-GGA, optimized geometry)" formation_energy_uncorrected_ev_per_fu=5.1 pbc="T T T"
Ag 0.0000 0.0000 0.0000
Cl 2.2176 2.2176 0.0000
Cl 2.2176 0.0000 2.2176
Cl 4.4351 2.2176 2.2176
Cl 0.0000 2.2176 2.2176
Cl 2.2176 4.4351 2.2176
Cl 2.2176 2.2176 4.4351
Cl 4.4351 4.4351 4.4351

(3)
12
Lattice="6.1904 0.0000 0.0000 -2.0534 7.7351 0.0000 -0.0230 -3.3298 8.1192" Properties=species:S:1:pos:R:3 comment="Pm3Sm2Sc (PBE-GGA, optimized geometry)" ef_mev_per_atom=38 pbc="T T T"
Pm -0.5070 1.8697 2.3112
Pm 0.5255 4.6908 0.3427
Pm 1.5336 0.8074 5.0953
Pm 2.5804 3.5979 3.0240
Pm 3.5884 -0.2855 7.7765
Pm 4.6210 2.5356 5.8080
Sm -0.5473 5.2594 3.7385
Sm 2.5446 0.2343 1.6534
Sm 1.5694 4.1710 6.4658
Sm 4.6613 -0.8541 4.3807
Sc 0.4912 -1.9696 7.1276
Sc 3.6228 6.3749 0.9916